No. 1
First-principles (PBE) data for a relaxed NaLa2CdPb crystal, as listed in Alexandria via LeMat-Bulk.

Computed properties:
Calculated formation energy: 0.375 eV per atom
E above lowest polymorph: 0 meV per atom
Symmetry: P4/mmm, No. 123
Crystal system: tetragonal

Cell: 5.790 5.790 5.065 Å, 90.00 90.00 90.00°
Element x y z (fractional)
1 Na 0.000 0.000 0.000
2 La 0.000 0.500 0.000
3 La 0.500 0.000 0.000
4 Cd 0.000 0.000 0.500
5 Pb 0.500 0.500 0.500

No. 2
First-principles (PBE) data for a relaxed Li5Pm2Ge3 crystal, as listed in Alexandria via LeMat-Bulk.

Computed properties:
Calculated formation energy: -0.246 eV per atom
Symmetry: P-4m2, No. 115
Crystal system: tetragonal

Cell: 4.139 4.139 12.626 Å, 90.00 90.00 90.00°
Element x y z (fractional)
1 Li 0.000 0.000 0.000
2 Li 0.000 0.000 0.500
3 Li 0.000 0.500 0.346
4 Li 0.500 0.000 0.654
5 Li 0.500 0.500 0.500
6 Pm 0.000 0.500 0.790
7 Pm 0.500 0.000 0.210
8 Ge 0.000 0.500 0.144
9 Ge 0.500 0.000 0.856
10 Ge 0.500 0.500 0.000

No. 3
First-principles (PBE) data for a relaxed Ac2Al5Ga3 crystal, as listed in Alexandria via LeMat-Bulk.

Computed properties:
Calculated formation energy: -0.406 eV per atom
E above lowest polymorph: 0 meV per atom
Symmetry: Ibam, No. 72
Crystal system: orthorhombic

Cell: 8.958 8.958 8.958 Å, 105.68 89.02 138.32°
Element x y z (fractional)
1 Ac 0.126 0.242 0.368
2 Ac 0.374 0.742 0.116
3 Ac 0.626 0.258 0.884
4 Ac 0.874 0.758 0.632
5 Al 0.014 0.750 0.264
6 Al 0.130 0.879 0.009
7 Al 0.250 0.750 0.500
8 Al 0.370 0.379 0.749
9 Al 0.486 0.750 0.736
10 Al 0.514 0.250 0.264
11 Al 0.630 0.621 0.251
12 Al 0.750 0.250 0.500
13 Al 0.870 0.121 0.991
14 Al 0.986 0.250 0.736
15 Ga 0.119 0.639 0.757
16 Ga 0.250 0.250 0.000
17 Ga 0.381 0.139 0.520
18 Ga 0.619 0.861 0.480
19 Ga 0.750 0.750 0.000
20 Ga 0.881 0.361 0.243

No. 4
First-principles (PBE) data for a relaxed ThPS crystal, as listed in Alexandria via LeMat-Bulk.

Computed properties:
Formation energy (no corrections): -0.9216 eV per atom
Symmetry: P-6m2, No. 187
Crystal system: hexagonal

Cell: 4.601 4.601 3.898 Å, 90.00 90.00 120.00°
Element x y z (fractional)
1 Th 0.000 0.000 0.000
2 P 0.667 0.333 0.500
3 S 0.333 0.667 0.000

No. 5
First-principles (PBE) data for a relaxed TbCd2Rh3 crystal, as listed in Alexandria via LeMat-Bulk.

Computed properties:
Calculated formation energy: -0.409 eV per atom
Symmetry: P-3m1, No. 164
Crystal system: trigonal

Cell: 4.653 4.653 11.402 Å, 90.00 90.00 120.00°
Element x y z (fractional)
1 Tb 0.333 0.667 0.169
2 Tb 0.667 0.333 0.831
3 Cd 0.000 0.000 0.000
4 Cd 0.000 0.000 0.500
5 Cd 0.333 0.667 0.662
6 Cd 0.667 0.333 0.338
7 Rh 0.000 0.000 0.254
8 Rh 0.000 0.000 0.746
9 Rh 0.333 0.667 0.418
10 Rh 0.333 0.667 0.917
11 Rh 0.667 0.333 0.083
12 Rh 0.667 0.333 0.582

No. 6
First-principles (PBE) data for a relaxed MnSb4P crystal, as listed in Alexandria via LeMat-Bulk.

Computed properties:
Formation energy (no corrections): 0.8205 eV per atom
Symmetry: F-43m, No. 216
Crystal system: cubic

Cell: 6.106 6.106 6.106 Å, 60.00 60.00 60.00°
Element x y z (fractional)
1 Mn 0.000 0.000 0.000
2 Sb 0.375 0.375 0.375
3 Sb 0.375 0.375 0.875
4 Sb 0.375 0.875 0.375
5 Sb 0.875 0.375 0.375
6 P 0.750 0.750 0.750

No. 7
First-principles (PBE) data for a relaxed PaTlRh4 crystal, as listed in Alexandria via LeMat-Bulk.

Computed properties:
Calculated formation energy: -0.421 eV per atom
Symmetry: F-43m, No. 216
Crystal system: cubic

Cell: 5.310 5.310 5.310 Å, 60.00 60.00 60.00°
Element x y z (fractional)
1 Pa 0.000 0.000 0.000
2 Tl 0.750 0.750 0.750
3 Rh 0.376 0.376 0.376
4 Rh 0.376 0.376 0.873
5 Rh 0.376 0.873 0.376
6 Rh 0.873 0.376 0.376